LiCoNiP | GGA-PBE | optimized geometry

a b c (Å): 5.444 5.444 5.444
angles (deg): 90.00 90.00 90.00
Space group F-43m (No. 216)
One atom of each set of equivalent atoms:
Li1 0.000 0.000 0.000 [4 per cell]
Co1 0.250 0.250 0.250 [4 per cell]
Ni1 0.250 0.250 0.750 [4 per cell]
P1 0.000 0.000 0.500 [4 per cell]

Computed properties:
Calculated total energy ... -5.4808 eV/atom
ΔH_f (0 K) ... -0.428 eV per atom